No. 1
KDyCuO2 | PBE | optimized geometry

Calculated values
space group: No. 13
spin magnetization: 0.00 μB per cell
E: -28.28 eV per formula unit

a = 7.0731 Å, b = 5.6643 Å, c = 6.6932 Å
α = 90.00°, β = 108.85°, γ = 90.00°
Last column: nearest neighbours and their distance in Å.
Sites, in units of the cell vectors:
K (0.0000, 0.1890, 0.2500)  2 O 2.63
K (0.0000, 0.8110, 0.7500)  2 O 2.63
Dy (0.5000, 0.4875, 0.7500)  4 O 2.21
Dy (0.5000, 0.5125, 0.2500)  4 O 2.21
Cu (0.5000, 0.0000, 0.0000)  2 O 1.85
Cu (0.5000, 0.0000, 0.5000)  2 O 1.85
O (0.3760, 0.2922, 0.4495)  1 Cu 1.85
O (0.3760, 0.7078, 0.9495)  1 Cu 1.85
O (0.6240, 0.2922, 0.0505)  1 Cu 1.85
O (0.6240, 0.7078, 0.5505)  1 Cu 1.85



No. 2
Mn2PBr | PBE | optimized geometry

Calculated values
space group: No. 99
spin magnetization: 7.57 μB per cell
E: -25.74 eV per formula unit
offset from the most stable computed form: 0.094 eV/atom

a = 3.3047 Å, b = 3.3047 Å, c = 7.3079 Å
α = 90.00°, β = 90.00°, γ = 90.00°
Last column: nearest neighbours and their distance in Å.
Sites, in units of the cell vectors:
Mn (0.0000, 0.0000, 0.0000)  1 P 2.42
Mn (0.5000, 0.5000, 0.2291)  4 P 2.45
P (0.0000, 0.0000, 0.3307)  5 Mn 2.42-2.45
Br (0.5000, 0.5000, 0.8124)  4 Mn 2.71



No. 3
Al2CrHg | PBE | optimized geometry

Calculated values
space group: No. 160
spin magnetization: 2.22 μB per cell
E: -16.32 eV per formula unit

a = 9.2599 Å, b = 9.2599 Å, c = 9.2599 Å
α = 18.35°, β = 18.35°, γ = 18.35°
Last column: nearest neighbours and their distance in Å.
Sites, in units of the cell vectors:
Al (0.0000, 0.0000, 0.0000)  3 Cr 2.60, 3 Al 2.87
Al (0.2490, 0.2490, 0.2490)  9 Al 2.87-2.95, 3 Hg 3.02
Cr (0.7385, 0.7385, 0.7385)  3 Al 2.60, 3 Hg 2.90
Hg (0.4910, 0.4910, 0.4910)  3 Cr 2.90, 6 Hg 2.95, 3 Al 3.02



No. 4
MgTl2As | PBE | optimized geometry

Calculated values
space group: No. 65
spin magnetization: 0.00 μB per cell
E: -10.50 eV per formula unit
offset from the most stable computed form: 0.238 eV/atom

a = 3.6189 Å, b = 3.6189 Å, c = 7.8110 Å
α = 90.00°, β = 90.00°, γ = 91.94°
Last column: nearest neighbours and their distance in Å.
Sites, in units of the cell vectors:
Mg (0.0000, 0.0000, 0.0000)  8 Tl 3.24-3.31, 4 Mg 3.62
Tl (0.5000, 0.5000, 0.2622)  4 As 3.13-3.20, 4 Mg 3.24-3.31
Tl (0.5000, 0.5000, 0.7378)  4 As 3.13-3.20, 4 Mg 3.24-3.31
As (0.0000, 0.0000, 0.5000)  8 Tl 3.13-3.20



No. 5
ScRu2Rh | PBE | optimized geometry

Calculated values
space group: No. 122
spin magnetization: 0.00 μB per cell
E: -31.62 eV per formula unit

a = 10.0553 Å, b = 10.0553 Å, c = 10.0553 Å
α = 158.93°, β = 158.93°, γ = 29.97°
Last column: nearest neighbours and their distance in Å.
Sites, in units of the cell vectors:
Sc (0.0000, 0.0000, 0.0000)  4 Rh 2.60, 4 Ru 2.77
Sc (0.7500, 0.2500, 0.5000)  4 Rh 2.60, 4 Ru 2.77
Ru (0.1355, 0.6250, 0.0105)  4 Ru 2.55-2.65, 2 Rh 2.74, 2 Sc 2.77
Ru (0.3750, 0.3855, 0.5105)  4 Ru 2.55-2.65, 2 Rh 2.74, 2 Sc 2.77
Ru (0.6145, 0.1250, 0.9895)  4 Ru 2.55-2.65, 2 Rh 2.74, 2 Sc 2.77
Ru (0.8750, 0.8645, 0.4895)  4 Ru 2.55-2.65, 2 Rh 2.74, 2 Sc 2.77
Rh (0.2500, 0.7500, 0.5000)  4 Sc 2.60, 4 Ru 2.74
Rh (0.5000, 0.5000, 0.0000)  4 Sc 2.60, 4 Ru 2.74



No. 6
Pm2Tc3Ru | PBE | optimized geometry

Calculated values
space group: No. 12
spin magnetization: 0.00 μB per cell
E: -50.25 eV per formula unit

a = 5.2631 Å, b = 5.2631 Å, c = 5.6780 Å
α = 117.74°, β = 117.74°, γ = 60.02°
Last column: nearest neighbours and their distance in Å.
Sites, in units of the cell vectors:
Pm (0.1253, 0.1253, 0.3758)  3 Ru 3.09-3.10, 9 Tc 3.18-3.36, 3 Pm 3.26-3.27
Pm (0.8747, 0.8747, 0.6242)  3 Ru 3.09-3.10, 9 Tc 3.18-3.36, 3 Pm 3.26-3.27
Tc (0.0000, 0.5000, 0.0000)  4 Tc 2.63, 2 Ru 2.83
Tc (0.5000, 0.0000, 0.0000)  4 Tc 2.63, 2 Ru 2.83
Tc (0.5000, 0.5000, 0.0000)  4 Tc 2.63, 2 Ru 2.84
Ru (0.5000, 0.5000, 0.5000)  6 Tc 2.83-2.84, 6 Pm 3.09-3.10



No. 7
CeCoH8Rh2 | PBE | optimized geometry

Calculated values
space group: No. 148
spin magnetization: 0.52 μB per cell
E: -56.88 eV per formula unit

a = 6.0677 Å, b = 6.0677 Å, c = 6.0677 Å
α = 44.23°, β = 44.23°, γ = 44.23°
Last column: nearest neighbours and their distance in Å.
Sites, in units of the cell vectors:
Ce (0.0000, 0.0000, 0.0000)  12 H 2.38-2.66
Co (0.5000, 0.5000, 0.5000)  6 H 1.64
H (0.1652, 0.4067, 0.7708)  1 Co 1.64, 1 Rh 1.74
H (0.2292, 0.8348, 0.5933)  1 Co 1.64, 1 Rh 1.74
H (0.3137, 0.3137, 0.3137)  1 Rh 1.66
H (0.4067, 0.7708, 0.1652)  1 Co 1.64, 1 Rh 1.74
H (0.5933, 0.2292, 0.8348)  1 Co 1.64, 1 Rh 1.74
H (0.6863, 0.6863, 0.6863)  1 Rh 1.66
H (0.7708, 0.1652, 0.4067)  1 Co 1.64, 1 Rh 1.74
H (0.8348, 0.5933, 0.2292)  1 Co 1.64, 1 Rh 1.74
Rh (0.2121, 0.2121, 0.2121)  4 H 1.66-1.74
Rh (0.7879, 0.7879, 0.7879)  4 H 1.66-1.74



No. 8
MgTiIr | PBE | optimized geometry

Calculated values
space group: No. 164
spin magnetization: 0.00 μB per cell
E: -19.80 eV per formula unit

a = 4.3235 Å, b = 4.3235 Å, c = 5.8798 Å
α = 90.00°, β = 90.00°, γ = 120.00°
Last column: nearest neighbours and their distance in Å.
Sites, in units of the cell vectors:
Mg (0.3333, 0.6667, 0.4052)  3 Ir 2.68, 3 Mg 2.73, 2 Ti 2.94
Mg (0.6667, 0.3333, 0.5948)  3 Ir 2.68, 3 Mg 2.73, 2 Ti 2.94
Ti (0.3333, 0.6667, 0.9054)  3 Ir 2.64, 3 Ti 2.73, 2 Mg 2.94
Ti (0.6667, 0.3333, 0.0946)  3 Ir 2.64, 3 Ti 2.73, 2 Mg 2.94
Ir (0.0000, 0.0000, 0.2382)  3 Ti 2.64, 3 Mg 2.68, 1 Ir 2.80
Ir (0.0000, 0.0000, 0.7618)  3 Ti 2.64, 3 Mg 2.68, 1 Ir 2.80



Question: Look up the E of the fifth one.
Answer: -31.62 eV per formula unit



Question: Among the records above, which one has the highest spin magnetization?
Answer: Mn2PBr



Question: What is the E in the fifth record?
Answer: -31.62 eV per formula unit